No. 1
Material: LaMg2Cl
Method: DFT, PBE
State: optimized geometry

The calculation puts the uncorrected formation energy at -0.582 eV/atom. The calculation puts the offset from the most stable computed form at 28 meV/atom.

The structure belongs to space group R3m (No. 160, hexagonal axes); the cell edges are 3.5394, 3.5394 and 29.1255 Å and the angles 90.00°, 90.00° and 120.00°. The asymmetric unit holds La at (0.0000, 0.0000, 0.0000), Mg at (0.0000, 0.0000, 0.5142), Mg at (0.0000, 0.0000, 0.7639) and Cl at (0.0000, 0.0000, 0.2534).

=====

No. 2
Material: LaMg2Cl
Method: DFT, PBE
State: optimized geometry

The calculation puts the uncorrected formation energy at -0.016 eV/atom. The calculation puts the offset from the most stable computed form at 594 meV/atom.

The structure belongs to space group Fm-3m (No. 225); the cell edges are 7.729, 7.729 and 7.729 Å and the angles 90.00°, 90.00° and 90.00°. The asymmetric unit holds La at (0.000, 0.000, 0.000), Mg at (0.250, 0.250, 0.250) and Cl at (0.000, 0.000, 0.500).

=====

No. 3
Material: LaMg2Cl
Method: DFT, PBE
State: optimized geometry

The calculation puts the uncorrected formation energy at -0.528 eV/atom. The calculation puts the offset from the most stable computed form at 83 meV/atom.

The structure belongs to space group Cm (No. 8); the cell edges are 10.546, 3.535 and 6.182 Å and the angles 90.00°, 102.44° and 90.00°. The asymmetric unit holds La at (0.000, 0.000, 0.000), Mg at (0.222, 0.000, 0.612), Mg at (0.478, 0.000, 0.495) and Cl at (0.233, 0.500, 0.078).

=====

No. 4
Material: LaMg2Cl
Method: DFT, PBE
State: optimized geometry

The calculation puts the uncorrected formation energy at -0.545 eV/atom. The calculation puts the offset from the most stable computed form at 65 meV/atom.

The structure belongs to space group P4/mmm (No. 123); the cell edges are 4.148, 4.148 and 6.369 Å and the angles 90.00°, 90.00° and 90.00°. The asymmetric unit holds La at (0.000, 0.000, 0.000), Mg at (0.000, 0.500, 0.500) and Cl at (0.500, 0.500, 0.000).

=====

No. 5
Material: La2MgCl
Method: DFT, PBE
State: optimized geometry

The calculation puts the uncorrected formation energy at -0.057 eV/atom. The calculation puts the offset from the most stable computed form at 670 meV/atom.

The structure belongs to space group F-43m (No. 216); the cell edges are 7.756, 7.756 and 7.756 Å and the angles 90.00°, 90.00° and 90.00°. The asymmetric unit holds La at (0.000, 0.000, 0.000), La at (0.250, 0.250, 0.250), Mg at (0.250, 0.250, 0.750) and Cl at (0.000, 0.000, 0.500).

=====

No. 6
Material: La2MgCl
Method: DFT, PBE
State: optimized geometry

The calculation puts the uncorrected formation energy at -0.727 eV/atom. The calculation puts the offset from the most stable computed form at 0 meV/atom.

The structure belongs to space group Pmmm (No. 47); the cell edges are 3.775, 3.880 and 8.742 Å and the angles 90.00°, 90.00° and 90.00°. The asymmetric unit holds La at (0.000, 0.000, 0.234), Mg at (0.500, 0.500, 0.000) and Cl at (0.500, 0.000, 0.500).